# UIn2HgTe4

A relaxed UIn2HgTe4 crystal (PBE, Alexandria).

Geometry as CIF:
```
data_UIn2HgTe4
_chemical_formula_sum 'U1 In2 Hg1 Te4'
_space_group_name_H-M_alt 'P 1'
_space_group_IT_number 1
_cell_length_a 7.493
_cell_length_b 4.309
_cell_length_c 8.881
_cell_angle_alpha 90.00
_cell_angle_beta 108.25
_cell_angle_gamma 90.00
loop_
_space_group_symop_operation_xyz
'x,y,z'
loop_
_atom_site_label
_atom_site_fract_x
_atom_site_fract_y
_atom_site_fract_z
_atom_site_occupancy
U1 0.000 0.000 0.000 1
In1 0.500 0.000 0.500 1
In2 0.500 0.500 0.000 1
Hg1 0.000 0.500 0.500 1
Te1 0.233 0.500 0.218 1
Te2 0.260 0.000 0.794 1
Te3 0.740 0.000 0.206 1
Te4 0.767 0.500 0.782 1
```

Computed properties:
Space-group type: P2/m, No. 10
V: 34.0 Å³/atom
Calculated total energy: -32.1 eV per formula unit

---

# Th5InHg2

A relaxed Th5InHg2 crystal (PBE, Alexandria).

Geometry as CIF:
```
data_Th5InHg2
_chemical_formula_sum 'Th10 In2 Hg4'
_space_group_name_H-M_alt 'P 1'
_space_group_IT_number 1
_cell_length_a 9.281
_cell_length_b 9.281
_cell_length_c 9.281
_cell_angle_alpha 128.16
_cell_angle_beta 128.16
_cell_angle_gamma 76.36
loop_
_space_group_symop_operation_xyz
'x,y,z'
loop_
_atom_site_label
_atom_site_fract_x
_atom_site_fract_y
_atom_site_fract_z
_atom_site_occupancy
Th1 0.000 0.000 0.000 1
Th2 0.005 0.505 0.825 1
Th3 0.180 0.005 0.500 1
Th4 0.320 0.820 0.825 1
Th5 0.495 0.320 0.500 1
Th6 0.500 0.500 0.000 1
Th7 0.505 0.680 0.500 1
Th8 0.680 0.180 0.175 1
Th9 0.820 0.995 0.500 1
Th10 0.995 0.495 0.175 1
In1 0.250 0.250 0.000 1
In2 0.750 0.750 0.000 1
Hg1 0.130 0.370 0.500 1
Hg2 0.370 0.870 0.240 1
Hg3 0.630 0.130 0.760 1
Hg4 0.870 0.630 0.500 1
```

Computed properties:
Space-group type: I4/mcm, No. 140
V: 30.0 Å³/atom
Energy of formation: -0.112 eV per atom
Energy above the most stable polymorph in this dataset: 61 meV/atom

---

# Th12In3Hg

A relaxed Th12In3Hg crystal (PBE, Alexandria).

Geometry as CIF:
```
data_Th12In3Hg
_chemical_formula_sum 'Th12 In3 Hg1'
_space_group_name_H-M_alt 'P 1'
_space_group_IT_number 1
_cell_length_a 4.942
_cell_length_b 4.942
_cell_length_c 19.802
_cell_angle_alpha 90.00
_cell_angle_beta 90.00
_cell_angle_gamma 90.00
loop_
_space_group_symop_operation_xyz
'x,y,z'
loop_
_atom_site_label
_atom_site_fract_x
_atom_site_fract_y
_atom_site_fract_z
_atom_site_occupancy
Th1 0.000 0.000 0.000 1
Th2 0.000 0.000 0.249 1
Th3 0.000 0.000 0.500 1
Th4 0.000 0.000 0.751 1
Th5 0.000 0.500 0.124 1
Th6 0.000 0.500 0.375 1
Th7 0.000 0.500 0.625 1
Th8 0.000 0.500 0.876 1
Th9 0.500 0.000 0.124 1
Th10 0.500 0.000 0.375 1
Th11 0.500 0.000 0.625 1
Th12 0.500 0.000 0.876 1
In1 0.500 0.500 0.249 1
In2 0.500 0.500 0.500 1
In3 0.500 0.500 0.751 1
Hg1 0.500 0.500 0.000 1
```

Computed properties:
Space-group type: P4/mmm, No. 123
V: 30.2 Å³/atom
Energy of formation: -0.130 eV per atom

---

# Th3InHg2

A relaxed Th3InHg2 crystal (PBE, Alexandria).

Geometry as CIF:
```
data_Th3InHg2
_chemical_formula_sum 'Th3 In1 Hg2'
_space_group_name_H-M_alt 'P 1'
_space_group_IT_number 1
_cell_length_a 3.472
_cell_length_b 3.472
_cell_length_c 13.793
_cell_angle_alpha 90.00
_cell_angle_beta 90.00
_cell_angle_gamma 90.00
loop_
_space_group_symop_operation_xyz
'x,y,z'
loop_
_atom_site_label
_atom_site_fract_x
_atom_site_fract_y
_atom_site_fract_z
_atom_site_occupancy
Th1 0.000 0.000 0.000 1
Th2 0.000 0.000 0.331 1
Th3 0.000 0.000 0.669 1
In1 0.500 0.500 0.500 1
Hg1 0.500 0.500 0.165 1
Hg2 0.500 0.500 0.835 1
```

Computed properties:
Space-group type: P4/mmm, No. 123
V: 27.7 Å³/atom
Energy of formation: -0.251 eV per atom

---

# Th5InHg2

A relaxed Th5InHg2 crystal (PBE, Alexandria).

Geometry as CIF:
```
data_Th5InHg2
_chemical_formula_sum 'Th5 In1 Hg2'
_space_group_name_H-M_alt 'P 1'
_space_group_IT_number 1
_cell_length_a 10.031
_cell_length_b 10.031
_cell_length_c 10.031
_cell_angle_alpha 151.24
_cell_angle_beta 151.24
_cell_angle_gamma 41.13
loop_
_space_group_symop_operation_xyz
'x,y,z'
loop_
_atom_site_label
_atom_site_fract_x
_atom_site_fract_y
_atom_site_fract_z
_atom_site_occupancy
Th1 0.000 0.000 0.000 1
Th2 0.128 0.628 0.500 1
Th3 0.372 0.872 0.500 1
Th4 0.628 0.128 0.500 1
Th5 0.872 0.372 0.500 1
In1 0.500 0.500 0.000 1
Hg1 0.250 0.250 0.000 1
Hg2 0.750 0.750 0.000 1
```

Computed properties:
Space-group type: I4/mmm, No. 139
V: 29.1 Å³/atom
Energy of formation: -0.173 eV per atom
Energy above the most stable polymorph in this dataset: 0 meV/atom

---

# Th4In2Hg5

A relaxed Th4In2Hg5 crystal (PBE, Alexandria).

Geometry as CIF:
```
data_Th4In2Hg5
_chemical_formula_sum 'Th4 In2 Hg5'
_space_group_name_H-M_alt 'P 1'
_space_group_IT_number 1
_cell_length_a 8.311
_cell_length_b 3.479
_cell_length_c 10.462
_cell_angle_alpha 90.00
_cell_angle_beta 96.02
_cell_angle_gamma 90.00
loop_
_space_group_symop_operation_xyz
'x,y,z'
loop_
_atom_site_label
_atom_site_fract_x
_atom_site_fract_y
_atom_site_fract_z
_atom_site_occupancy
Th1 0.178 0.000 0.395 1
Th2 0.281 0.000 0.936 1
Th3 0.719 0.000 0.064 1
Th4 0.822 0.000 0.605 1
In1 0.065 0.500 0.135 1
In2 0.935 0.500 0.865 1
Hg1 0.176 0.500 0.664 1
Hg2 0.439 0.500 0.200 1
Hg3 0.500 0.500 0.500 1
Hg4 0.561 0.500 0.800 1
Hg5 0.824 0.500 0.336 1
```

Computed properties:
Space-group type: P2/m, No. 10
V: 27.4 Å³/atom
Energy of formation: -0.192 eV per atom

---

# ThIn2Hg

A relaxed ThIn2Hg crystal (PBE, Alexandria).

Geometry as CIF:
```
data_ThIn2Hg
_chemical_formula_sum 'Th1 In2 Hg1'
_space_group_name_H-M_alt 'P 1'
_space_group_IT_number 1
_cell_length_a 4.730
_cell_length_b 4.730
_cell_length_c 4.706
_cell_angle_alpha 90.00
_cell_angle_beta 90.00
_cell_angle_gamma 90.00
loop_
_space_group_symop_operation_xyz
'x,y,z'
loop_
_atom_site_label
_atom_site_fract_x
_atom_site_fract_y
_atom_site_fract_z
_atom_site_occupancy
Th1 0.000 0.000 0.000 1
In1 0.000 0.500 0.500 1
In2 0.500 0.000 0.500 1
Hg1 0.500 0.500 0.000 1
```

Computed properties:
Space-group type: P4/mmm, No. 123
V: 26.3 Å³/atom
Energy of formation: -0.314 eV per atom

---

# ThIn2Hg6

A relaxed ThIn2Hg6 crystal (PBE, Alexandria).

Geometry as CIF:
```
data_ThIn2Hg6
_chemical_formula_sum 'Th1 In2 Hg6'
_space_group_name_H-M_alt 'P 1'
_space_group_IT_number 1
_cell_length_a 6.336
_cell_length_b 6.336
_cell_length_c 9.805
_cell_angle_alpha 106.23
_cell_angle_beta 106.23
_cell_angle_gamma 38.70
loop_
_space_group_symop_operation_xyz
'x,y,z'
loop_
_atom_site_label
_atom_site_fract_x
_atom_site_fract_y
_atom_site_fract_z
_atom_site_occupancy
Th1 0.000 0.000 0.000 1
In1 0.318 0.318 0.112 1
In2 0.682 0.682 0.888 1
Hg1 0.016 0.016 0.667 1
Hg2 0.330 0.330 0.446 1
Hg3 0.344 0.344 0.768 1
Hg4 0.656 0.656 0.232 1
Hg5 0.670 0.670 0.554 1
Hg6 0.984 0.984 0.333 1
```

Computed properties:
Space-group type: C2/m, No. 12
V: 26.1 Å³/atom
Energy of formation: -0.070 eV per atom

---

Question: Look up the V of the sixth one.
Answer: 27.4 Å³/atom

---

Question: Among the records above, which one has the lowest V?
Answer: ThIn2Hg6